[1]
DFT (PBE-GGA) results for TbErAu after structural relaxation.

Output
Formation enthalpy at 0 K   -424 meV per atom
Theoretical density   11.0 Mg/m³
DOS at the Fermi energy   0.658 states/eV/atom
Volume   79.0 Å³ per cell
Space group   P3m1, No. 156

a b c (Å): 3.8108 4.8936 4.8936
angles (deg): 120.00 90.00 90.00
Closest atoms and distances in Å follow each position.
Fractional positions:
Tb 0.7286 0.6667 0.3333  3 Au 3.03, 3 Er 3.35
Au 0.0154 0.0000 0.0000  3 Er 2.97, 3 Tb 3.03
Er 0.2561 0.3333 0.6667  3 Au 2.97

[2]
DFT (PBE-GGA) results for TbEr2Au3 after structural relaxation.

Output
Formation enthalpy at 0 K   -875 meV per atom
Theoretical density   13.1 Mg/m³
DOS at the Fermi energy   0.324 states/eV/atom
Volume   137.9 Å³ per cell
Space group   P4/mmm, No. 123

a b c (Å): 3.5624 3.5624 10.8666
angles (deg): 90.00 90.00 90.00
Closest atoms and distances in Å follow each position.
Fractional positions:
Tb 0.5000 0.5000 0.5000  8 Au 3.14
Er 0.5000 0.5000 0.8349  8 Au 3.08-3.09
Er 0.5000 0.5000 0.1651  8 Au 3.08-3.09
Au 0.0000 0.0000 0.0000  8 Er 3.09
Au 0.0000 0.0000 0.6718  4 Er 3.08, 4 Tb 3.14
Au 0.0000 0.0000 0.3282  4 Er 3.08, 4 Tb 3.14

[3]
DFT (PBE-GGA) results for Tb5ErAu6 after structural relaxation.

Output
Formation enthalpy at 0 K   -855 meV per atom
Theoretical density   12.6 Mg/m³
DOS at the Fermi energy   0.517 states/eV/atom
Volume   282.0 Å³ per cell
Space group   Immm, No. 71

a b c (Å): 5.1239 7.1395 8.8735
angles (deg): 66.28 73.22 90.00
Closest atoms and distances in Å follow each position.
Fractional positions:
Au 0.8353 0.5876 0.3298  1 Er 3.10, 7 Tb 3.11-3.16
Au 0.8352 0.0826 0.3298  1 Er 3.10, 7 Tb 3.11-3.16
Au 0.5000 0.7545 0.0000  2 Er 3.10, 6 Tb 3.11-3.15
Au 0.5000 0.2455 0.0000  2 Er 3.10, 6 Tb 3.11-3.15
Au 0.1648 0.9174 0.6702  1 Er 3.10, 7 Tb 3.11-3.16
Au 0.1647 0.4124 0.6702  1 Er 3.10, 7 Tb 3.11-3.16
Tb 0.6670 0.1670 0.6660  8 Au 3.11-3.16
Tb 0.3335 0.3335 0.3330  8 Au 3.13-3.15
Tb 0.0000 0.5000 0.0000  8 Au 3.12-3.14
Tb 0.6665 0.6665 0.6670  8 Au 3.13-3.15
Tb 0.3330 0.8330 0.3340  8 Au 3.11-3.16
Er 0.0000 0.0000 0.0000  8 Au 3.10